Crystalline InIr2Os at its relaxed geometry, computed with GGA-PBE.

It has space group F-43m (No. 216), with a = 6.3447 Å, b = 6.3447 Å, c = 6.3447 Å, α = 90.00°, β = 90.00° and γ = 90.00°. The asymmetric unit holds In at (0.0000, 0.0000, 0.0000), Ir at (0.0000, 0.0000, 0.5000), Ir at (0.2500, 0.2500, 0.7500) and Os at (0.2500, 0.2500, 0.2500).

For the total DFT energy (no corrections), the calculation gives -7.401 eV per atom.


Crystalline InIrOs2 at its relaxed geometry, computed with GGA-PBE.

It has space group F-43m (No. 216), with a = 6.3422 Å, b = 6.3422 Å, c = 6.3422 Å, α = 90.00°, β = 90.00° and γ = 90.00°. The asymmetric unit holds In at (0.0000, 0.0000, 0.0000), Ir at (0.2500, 0.2500, 0.2500), Os at (0.0000, 0.0000, 0.5000) and Os at (0.2500, 0.2500, 0.7500).

For the total DFT energy (no corrections), the calculation gives -7.838 eV per atom.


Crystalline InIr3Pb5 at its relaxed geometry, computed with GGA-PBE.

It has space group P6/mmm (No. 191), with a = 5.6696 Å, b = 5.6696 Å, c = 8.2504 Å, α = 90.00°, β = 90.00° and γ = 120.00°. The asymmetric unit holds In at (0.0000, 0.0000, 0.0000), Ir at (0.0000, 0.5000, 0.5000), Pb at (0.0000, 0.0000, 0.5000) and Pb at (0.3333, 0.6667, 0.2139).

For the total DFT energy (no corrections), the calculation gives -5.110 eV per atom.